Entry 1:
A plane-wave DFT calculation with PBE was carried out for a relaxed DyHo3Te crystal.

Values from the calculation:
The calculation puts the theoretical density at 8.38 g cm⁻³. Its total energy is -4.623 eV/atom. The calculation puts the density of states at the Fermi level at 5.34 states/eV/f.u. The uncorrected formation energy is -0.33 eV/atom.

a b c (Å): 12.021 5.757 9.037
angles (deg): 90.00 95.78 90.00
Space group C2/m (No. 12)
Inequivalent atoms, fractional coordinates:
Dy 0.081 0.000 0.150 x4
Ho 0.058 0.500 0.341 x4
Ho 0.126 0.000 0.638 x4
Ho 0.139 0.500 0.956 x4
Te 0.212 0.500 0.630 x4



Entry 2:
A plane-wave DFT calculation with PBE was carried out for a relaxed K3Dy3YSe8 crystal.

Values from the calculation:
The calculation puts the theoretical density at 4.69 g cm⁻³. Its total energy is -5.112 eV/atom. The calculation puts the density of states at the Fermi level at 8.55 states/eV/f.u. The uncorrected formation energy is -1.68 eV/atom.

a b c (Å): 8.3066 8.3066 23.5593
angles (deg): 90.00 90.00 120.00
Space group R-3m (No. 166, hexagonal axes)
Inequivalent atoms, fractional coordinates:
K 0.0000 0.5000 0.0000 x9
Dy 0.0000 0.5000 0.5000 x9
Y 0.0000 0.0000 0.5000 x3
Se 0.0000 0.0000 0.2351 x6
Se 0.0012 0.5006 0.7658 x18



Entry 3:
A plane-wave DFT calculation with PBE was carried out for a relaxed Zn3FePd crystal.

Values from the calculation:
The calculation puts the theoretical density at 6.47 g cm⁻³. For the energy of formation from the pure elements, the calculation gives 0.626 eV per atom. Its total energy is -2.870 eV/atom. The calculation puts the density of states at the Fermi level at 4.10 states/eV/f.u. The energy above the most stable polymorph in this dataset comes out at 0 meV per atom.

a b c (Å): 4.513 4.513 4.513
angles (deg): 90.00 90.00 90.00
Space group Pm-3m (No. 221)
Inequivalent atoms, fractional coordinates:
Zn 0.000 0.000 0.500 x3
Fe 0.000 0.000 0.000 x1
Pd 0.500 0.500 0.500 x1



Entry 4:
A plane-wave DFT calculation with PBE was carried out for a relaxed Sm4Dy9Cd11 crystal.

Values from the calculation:
The calculation puts the theoretical density at 8.46 g cm⁻³. For the energy of formation from the pure elements, the calculation gives -0.236 eV per atom. Its total energy is -3.168 eV/atom. The calculation puts the density of states at the Fermi level at 27.93 states/eV/f.u.

a b c (Å): 16.075 22.763 3.540
angles (deg): 90.00 90.00 90.00
Space group Cmmm (No. 65)
Inequivalent atoms, fractional coordinates:
Sm 0.166 0.084 0.000 x8
Dy 0.000 0.000 0.000 x2
Dy 0.112 0.405 0.000 x8
Dy 0.114 0.231 0.000 x8
Cd 0.000 0.131 0.500 x4
Cd 0.000 0.318 0.500 x4
Cd 0.000 0.500 0.500 x2
Cd 0.208 0.500 0.500 x4
Cd 0.229 0.318 0.500 x8



Entry 5:
A plane-wave DFT calculation with PBE was carried out for a relaxed SmPuPd2 crystal.

Values from the calculation:
The calculation puts the theoretical density at 10.75 g cm⁻³. For the energy of formation from the pure elements, the calculation gives -0.616 eV per atom. Its total energy is -7.975 eV/atom. The calculation puts the density of states at the Fermi level at 14.17 states/eV/f.u.

a b c (Å): 4.447 3.861 10.928
angles (deg): 90.00 90.00 90.00
Space group Amm2 (No. 38)
Inequivalent atoms, fractional coordinates:
Sm 0.000 0.000 0.000 x2
Pu 0.500 0.000 0.278 x2
Pd 0.000 0.000 0.727 x2
Pd 0.500 0.000 0.554 x2



Entry 6:
A plane-wave DFT calculation with PBE was carried out for a relaxed CrMo2HPt crystal.

Values from the calculation:
The calculation puts the theoretical density at 12.03 g cm⁻³. Its total energy is -8.208 eV/atom. The calculation puts the density of states at the Fermi level at 2.99 states/eV/f.u.

a b c (Å): 3.954 3.954 3.886
angles (deg): 90.00 90.00 90.00
Space group P4/mmm (No. 123)
Inequivalent atoms, fractional coordinates:
Cr 0.000 0.000 0.000 x1
Mo 0.000 0.500 0.500 x2
H 0.000 0.000 0.500 x1
Pt 0.500 0.500 0.000 x1



Entry 7:
A plane-wave DFT calculation with PBE was carried out for a relaxed Ac4Ge2Ir crystal.

Values from the calculation:
The calculation puts the theoretical density at 9.18 g cm⁻³. For the energy of formation from the pure elements, the calculation gives -0.626 eV per atom. Its total energy is -5.558 eV/atom. The calculation puts the density of states at the Fermi level at 5.63 states/eV/f.u. The energy above the most stable polymorph in this dataset comes out at 0 meV per atom.

a b c (Å): 12.467 4.697 9.239
angles (deg): 90.00 123.57 90.00
Space group C2/m (No. 12)
Inequivalent atoms, fractional coordinates:
Ac 0.082 0.000 0.366 x4
Ac 0.179 0.500 0.077 x4
Ge 0.121 0.500 0.645 x4
Ir 0.000 0.000 0.000 x2



Entry 8:
A plane-wave DFT calculation with PBE was carried out for a relaxed SrUPbO6 crystal.

Values from the calculation:
The calculation puts the theoretical density at 6.87 g cm⁻³. Its total energy is -7.467 eV/atom. The calculation puts the density of states at the Fermi level at 0.00 states/eV/f.u. The uncorrected formation energy is -2.31 eV/atom.

a b c (Å): 5.7020 5.7020 10.7915
angles (deg): 90.00 90.00 120.00
Space group P-31c (No. 163)
Inequivalent atoms, fractional coordinates:
Sr 0.0000 0.0000 0.0000 x2
U 0.3333 0.6667 0.2500 x2
Pb 0.3333 0.6667 0.7500 x2
O 0.0139 0.3698 0.1419 x12



Entry 9:
A plane-wave DFT calculation with PBE was carried out for a relaxed TcSBr2 crystal.

Values from the calculation:
The calculation puts the theoretical density at 5.25 g cm⁻³. Its total energy is -3.706 eV/atom. The calculation puts the density of states at the Fermi level at 4.78 states/eV/f.u. The uncorrected formation energy is 0.75 eV/atom. The energy above the most stable polymorph in this dataset comes out at 789 meV per atom.

a b c (Å): 2.9644 2.9644 36.1143
angles (deg): 90.00 90.00 120.00
Space group R-3m (No. 166, hexagonal axes)
Inequivalent atoms, fractional coordinates:
Tc 0.0000 0.0000 0.0000 x3
S 0.0000 0.0000 0.5000 x3
Br 0.0000 0.0000 0.0662 x6



Entry 10:
A plane-wave DFT calculation with PBE was carried out for a relaxed Li2TaTc crystal.

Values from the calculation:
The calculation puts the theoretical density at 8.11 g cm⁻³. For the energy of formation from the pure elements, the calculation gives 0.317 eV per atom. Its total energy is -6.194 eV/atom. The calculation puts the density of states at the Fermi level at 1.33 states/eV/f.u. The energy above the most stable polymorph in this dataset comes out at 176 meV per atom.

a b c (Å): 6.213 6.213 6.213
angles (deg): 90.00 90.00 90.00
Space group F-43m (No. 216)
Inequivalent atoms, fractional coordinates:
Li 0.000 0.000 0.000 x4
Li 0.250 0.250 0.250 x4
Ta 0.250 0.250 0.750 x4
Tc 0.000 0.000 0.500 x4



Entry 11:
A plane-wave DFT calculation with PBE was carried out for a relaxed CaLaTc2Hg crystal.

Values from the calculation:
The calculation puts the theoretical density at 7.36 g cm⁻³. For the energy of formation from the pure elements, the calculation gives 1.333 eV per atom. Its total energy is -4.259 eV/atom. The calculation puts the density of states at the Fermi level at 3.71 states/eV/f.u.

a b c (Å): 4.929 4.929 5.345
angles (deg): 90.00 90.00 90.00
Space group P4/mmm (No. 123)
Inequivalent atoms, fractional coordinates:
Ca 0.000 0.000 0.000 x1
La 0.500 0.500 0.500 x1
Tc 0.000 0.500 0.000 x2
Hg 0.000 0.000 0.500 x1



Entry 12:
A plane-wave DFT calculation with PBE was carried out for a relaxed Sn2Pb2Cl crystal.

Values from the calculation:
The calculation puts the theoretical density at 7.48 g cm⁻³. Its total energy is -3.549 eV/atom. The calculation puts the density of states at the Fermi level at 1.49 states/eV/f.u. The uncorrected formation energy is -0.10 eV/atom. The energy above the most stable polymorph in this dataset comes out at 129 meV per atom.

a b c (Å): 9.014 9.014 3.758
angles (deg): 90.00 90.00 90.00
Space group P4/mbm (No. 127)
Inequivalent atoms, fractional coordinates:
Sn 0.124 0.376 0.000 x4
Pb 0.172 0.672 0.500 x4
Cl 0.000 0.000 0.500 x2



> What is the theoretical density in the third record?

6.47 g cm⁻³



> What is the formula in the seventh record?

Ac4Ge2Ir



> Which value of density of states at the Fermi level does entry 12 give?

1.49 states/eV/f.u.



Please write out number 6 again, unchanged.
A plane-wave DFT calculation with PBE was carried out for a relaxed CrMo2HPt crystal.

Values from the calculation:
The calculation puts the theoretical density at 12.03 g cm⁻³. Its total energy is -8.208 eV/atom. The calculation puts the density of states at the Fermi level at 2.99 states/eV/f.u.

a b c (Å): 3.954 3.954 3.886
angles (deg): 90.00 90.00 90.00
Space group P4/mmm (No. 123)
Inequivalent atoms, fractional coordinates:
Cr 0.000 0.000 0.000 x1
Mo 0.000 0.500 0.500 x2
H 0.000 0.000 0.500 x1
Pt 0.500 0.500 0.000 x1